No. 1
Below is a relaxed HoPa2Ni crystal, with properties calculated at the PBE-GGA level.

Unit cell a=3.424 b=3.424 c=28.230 alpha=90.00 beta=90.00 gamma=120.00
Fractional coordinates of all 12 atoms:
1 Ho 0.000 0.000 0.000
2 Ho 0.333 0.667 0.667
3 Ho 0.667 0.333 0.333
4 Pa 0.000 0.000 0.234
5 Pa 0.000 0.000 0.766
6 Pa 0.333 0.667 0.433
7 Pa 0.333 0.667 0.900
8 Pa 0.667 0.333 0.100
9 Pa 0.667 0.333 0.567
10 Ni 0.000 0.000 0.500
11 Ni 0.333 0.667 0.167
12 Ni 0.667 0.333 0.833

Results
formation enthalpy at 0 K	0.08	eV/atom
crystal system	trigonal
space group	R-3m, No. 166


No. 2
Below is a relaxed Ho2PaNi9 crystal, with properties calculated at the PBE-GGA level.

Unit cell a=8.634 b=8.634 c=8.634 alpha=33.12 beta=33.12 gamma=33.12
Fractional coordinates of all 12 atoms:
1 Ho 0.139 0.139 0.139
2 Ho 0.861 0.861 0.861
3 Pa 0.000 0.000 0.000
4 Ni 0.081 0.583 0.583
5 Ni 0.333 0.333 0.333
6 Ni 0.417 0.417 0.919
7 Ni 0.417 0.919 0.417
8 Ni 0.500 0.500 0.500
9 Ni 0.583 0.081 0.583
10 Ni 0.583 0.583 0.081
11 Ni 0.667 0.667 0.667
12 Ni 0.919 0.417 0.417

Results
formation enthalpy at 0 K	-0.44	eV/atom
crystal system	trigonal
space group	R-3m, No. 166


No. 3
Below is a relaxed HoPaNi crystal, with properties calculated at the PBE-GGA level.

Unit cell a=15.001 b=3.307 c=5.923 alpha=90.00 beta=105.42 gamma=90.00
Fractional coordinates of all 12 atoms:
1 Ho 0.058 0.000 0.295
2 Ho 0.442 0.500 0.705
3 Ho 0.558 0.500 0.295
4 Ho 0.942 0.000 0.705
5 Pa 0.224 0.500 0.712
6 Pa 0.276 0.000 0.288
7 Pa 0.724 0.000 0.712
8 Pa 0.776 0.500 0.288
9 Ni 0.129 0.000 0.894
10 Ni 0.371 0.500 0.106
11 Ni 0.629 0.500 0.894
12 Ni 0.871 0.000 0.106

Results
formation enthalpy at 0 K	0.11	eV/atom
crystal system	monoclinic
space group	C2/m, No. 12
energy relative to the lowest polymorph listed for this composition	0.71	eV/f.u.


No. 4
Below is a relaxed HoPaNi2 crystal, with properties calculated at the PBE-GGA level.

Unit cell a=6.142 b=4.292 c=6.162 alpha=90.00 beta=114.24 gamma=90.00
Fractional coordinates of all 8 atoms:
1 Ho 0.114 0.250 0.383
2 Ho 0.886 0.750 0.617
3 Pa 0.403 0.750 0.100
4 Pa 0.597 0.250 0.900
5 Ni 0.098 0.250 0.931
6 Ni 0.429 0.750 0.596
7 Ni 0.571 0.250 0.404
8 Ni 0.902 0.750 0.069

Results
formation enthalpy at 0 K	-0.37	eV/atom
crystal system	monoclinic
space group	P2_1/m, No. 11
energy relative to the lowest polymorph listed for this composition	0.00	eV/f.u.


No. 5
Below is a relaxed HoPaNi2 crystal, with properties calculated at the PBE-GGA level.

Unit cell a=4.538 b=4.538 c=13.301 alpha=90.00 beta=90.00 gamma=120.00
Fractional coordinates of all 12 atoms:
1 Ho 0.000 0.000 0.000
2 Ho 0.333 0.667 0.667
3 Ho 0.667 0.333 0.333
4 Pa 0.000 0.000 0.500
5 Pa 0.333 0.667 0.167
6 Pa 0.667 0.333 0.833
7 Ni 0.000 0.000 0.216
8 Ni 0.000 0.000 0.784
9 Ni 0.333 0.667 0.451
10 Ni 0.333 0.667 0.883
11 Ni 0.667 0.333 0.117
12 Ni 0.667 0.333 0.549

Results
formation enthalpy at 0 K	-0.28	eV/atom
crystal system	trigonal
space group	R-3m, No. 166
energy relative to the lowest polymorph listed for this composition	0.37	eV/f.u.


No. 6
Below is a relaxed Ho2Pa2Ni15 crystal, with properties calculated at the PBE-GGA level.

Unit cell a=6.485 b=6.485 c=6.485 alpha=81.31 beta=81.31 gamma=81.31
Fractional coordinates of all 19 atoms:
1 Ho 0.136 0.136 0.136
2 Ho 0.864 0.864 0.864
3 Pa 0.391 0.391 0.391
4 Pa 0.609 0.609 0.609
5 Ni 0.000 0.500 0.500
6 Ni 0.155 0.155 0.663
7 Ni 0.155 0.663 0.155
8 Ni 0.187 0.500 0.813
9 Ni 0.187 0.813 0.500
10 Ni 0.337 0.845 0.845
11 Ni 0.500 0.000 0.500
12 Ni 0.500 0.187 0.813
13 Ni 0.500 0.500 0.000
14 Ni 0.500 0.813 0.187
15 Ni 0.663 0.155 0.155
16 Ni 0.813 0.187 0.500
17 Ni 0.813 0.500 0.187
18 Ni 0.845 0.337 0.845
19 Ni 0.845 0.845 0.337

Results
formation enthalpy at 0 K	-0.30	eV/atom
crystal system	trigonal
space group	R-3m, No. 166